This record from Alexandria describes a geometry-optimized NaPrCr4O12 structure. The functional is PBE+U.

Values from the calculation:
Uncorrected energy (Ry per atom): -0.4967
DOS(E_F) (states/eV/f.u.): 11.13
M_tot (μB/f.u.): 4.00

Cell and atoms, written as CIF:
```
data_NaPrCr4O12
_cell_length_a 5.295
_cell_length_b 5.295
_cell_length_c 7.616
_cell_angle_alpha 90.00
_cell_angle_beta 90.00
_cell_angle_gamma 90.00
_space_group_name_H-M_alt 'P 4/m m m'
_space_group_IT_number 123
_space_group_name_Hall '-P 4 2'
loop_
_atom_site_label
_atom_site_fract_x
_atom_site_fract_y
_atom_site_fract_z
Na1 0.000 0.000 0.000
Pr1 0.500 0.500 0.500
Cr1 0.000 0.500 0.241
O1 0.000 0.500 0.000
O2 0.000 0.500 0.500
O3 0.255 0.255 0.258
```